[1]
## Tl3NiS (PBE)

Data for a relaxed structure of Tl3NiS.

Total moment = 0.000 μB/f.u.
Energy = -3.344 eV per atom
ΔE_f (raw) = 57 meV/atom
Distance to the lowest polymorph of the same formula = 0.0 meV per atom
D(E_F) = 1.9 states/eV per cell

CIF file:
```
data_Tl3NiS
_chemical_formula_sum 'Tl3 Ni1 S1'
_symmetry_space_group_name_H-M 'P m -3 m'
_symmetry_Int_Tables_number 221
_symmetry_space_group_name_Hall '-P 4 2 3'
_cell_length_a 5.0820
_cell_length_b 5.0820
_cell_length_c 5.0820
_cell_angle_alpha 90.00
_cell_angle_beta 90.00
_cell_angle_gamma 90.00
loop_
_atom_site_label
_atom_site_type_symbol
_atom_site_fract_x
_atom_site_fract_y
_atom_site_fract_z
_atom_site_occupancy
Tl1 Tl 0.0000 0.0000 0.5000 1
Ni1 Ni 0.0000 0.0000 0.0000 1
S1 S 0.5000 0.5000 0.5000 1
```

=====

[2]
## Tl2NiS (PBE)

Data for a relaxed structure of Tl2NiS.

Total moment = 0.000 μB/f.u.
Energy = -3.404 eV per atom
ΔE_f (raw) = 256 meV/atom
Distance to the lowest polymorph of the same formula = 0.0 meV per atom
D(E_F) = 1.5 states/eV per cell

CIF file:
```
data_Tl2NiS
_chemical_formula_sum 'Tl8 Ni4 S4'
_symmetry_space_group_name_H-M 'I -4 2 d'
_symmetry_Int_Tables_number 122
_symmetry_space_group_name_Hall 'I -4 2bw'
_cell_length_a 6.7497
_cell_length_b 6.7497
_cell_length_c 9.4017
_cell_angle_alpha 90.00
_cell_angle_beta 90.00
_cell_angle_gamma 90.00
loop_
_atom_site_label
_atom_site_type_symbol
_atom_site_fract_x
_atom_site_fract_y
_atom_site_fract_z
_atom_site_occupancy
Tl1 Tl 0.2304 0.2500 0.1250 1
Ni1 Ni 0.0000 0.0000 0.0000 1
S1 S 0.0000 0.0000 0.5000 1
```

=====

[3]
## Tl2NiS2 (PBE)

Data for a relaxed structure of Tl2NiS2.

Total moment = 0.000 μB/f.u.
Energy = -4.060 eV per atom
ΔE_f (raw) = -307 meV/atom
D(E_F) = 3.1 states/eV per cell

CIF file:
```
data_Tl2NiS2
_chemical_formula_sum 'Tl4 Ni2 S4'
_symmetry_space_group_name_H-M 'I m m m'
_symmetry_Int_Tables_number 71
_symmetry_space_group_name_Hall '-I 2 2'
_cell_length_a 3.3891
_cell_length_b 7.2675
_cell_length_c 9.5642
_cell_angle_alpha 90.00
_cell_angle_beta 90.00
_cell_angle_gamma 90.00
loop_
_atom_site_label
_atom_site_type_symbol
_atom_site_fract_x
_atom_site_fract_y
_atom_site_fract_z
_atom_site_occupancy
Tl1 Tl 0.0000 0.0000 0.1957 1
Ni1 Ni 0.0000 0.5000 0.0000 1
S1 S 0.0000 0.1992 0.5000 1
```

=====

[4]
## TlNiS2 (PBE)

Data for a relaxed structure of TlNiS2.

Total moment = 1.004 μB/f.u.
Energy = -3.966 eV per atom
ΔE_f (raw) = 135 meV/atom
D(E_F) = 15.9 states/eV per cell

CIF file:
```
data_TlNiS2
_chemical_formula_sum 'Tl3 Ni3 S6'
_symmetry_space_group_name_H-M 'R -3 m'
_symmetry_Int_Tables_number 166
_symmetry_space_group_name_Hall '-R 3 2"'
_cell_length_a 4.0685
_cell_length_b 4.0685
_cell_length_c 21.3677
_cell_angle_alpha 90.00
_cell_angle_beta 90.00
_cell_angle_gamma 120.00
loop_
_atom_site_label
_atom_site_type_symbol
_atom_site_fract_x
_atom_site_fract_y
_atom_site_fract_z
_atom_site_occupancy
Tl1 Tl 0.0000 0.0000 0.0000 1
Ni1 Ni 0.0000 0.0000 0.5000 1
S1 S 0.0000 0.0000 0.4026 1
```

=====

[5]
## TlNiS2 (PBE)

Data for a relaxed structure of TlNiS2.

Total moment = 2.037 μB/f.u.
Energy = -3.559 eV per atom
ΔE_f (raw) = 541 meV/atom
D(E_F) = 23.3 states/eV per cell

CIF file:
```
data_TlNiS2
_chemical_formula_sum 'Tl4 Ni4 S8'
_symmetry_space_group_name_H-M 'F m -3 m'
_symmetry_Int_Tables_number 225
_symmetry_space_group_name_Hall '-F 4 2 3'
_cell_length_a 6.6538
_cell_length_b 6.6538
_cell_length_c 6.6538
_cell_angle_alpha 90.00
_cell_angle_beta 90.00
_cell_angle_gamma 90.00
loop_
_atom_site_label
_atom_site_type_symbol
_atom_site_fract_x
_atom_site_fract_y
_atom_site_fract_z
_atom_site_occupancy
Tl1 Tl 0.0000 0.0000 0.0000 1
Ni1 Ni 0.0000 0.0000 0.5000 1
S1 S 0.2500 0.2500 0.2500 1
```

=====

[6]
## Tl2NiS2 (PBE)

Data for a relaxed structure of Tl2NiS2.

Total moment = 0.985 μB/f.u.
Energy = -3.112 eV per atom
ΔE_f (raw) = 642 meV/atom
D(E_F) = 10.1 states/eV per cell

CIF file:
```
data_Tl2NiS2
_chemical_formula_sum 'Tl4 Ni2 S4'
_symmetry_space_group_name_H-M 'I 4/m m m'
_symmetry_Int_Tables_number 139
_symmetry_space_group_name_Hall '-I 4 2'
_cell_length_a 4.2340
_cell_length_b 4.2340
_cell_length_c 13.8763
_cell_angle_alpha 90.00
_cell_angle_beta 90.00
_cell_angle_gamma 90.00
loop_
_atom_site_label
_atom_site_type_symbol
_atom_site_fract_x
_atom_site_fract_y
_atom_site_fract_z
_atom_site_occupancy
Tl1 Tl 0.0000 0.5000 0.2500 1
Ni1 Ni 0.0000 0.0000 0.0000 1
S1 S 0.0000 0.0000 0.4242 1
```